1.
Crystalline Na4MnIr3S8 at its relaxed geometry. Source: Alexandria, functional PBE.

```
Na4MnIr3S8
1.0
3.6568 2.1113 6.3363
-3.6568 2.1113 6.3363
0.0000 -4.2226 6.3363
Na Mn Ir S
4 1 3 8
Direct
0.0000 0.0000 0.0000 Na
0.0000 0.5000 0.5000 Na
0.5000 0.0000 0.5000 Na
0.5000 0.5000 0.0000 Na
0.5000 0.5000 0.5000 Mn
0.0000 0.0000 0.5000 Ir
0.0000 0.5000 0.0000 Ir
0.5000 0.0000 0.0000 Ir
0.2223 0.7352 0.7352 S
0.2275 0.2275 0.2275 S
0.2648 0.2648 0.7777 S
0.2648 0.7777 0.2648 S
0.7352 0.2223 0.7352 S
0.7352 0.7352 0.2223 S
0.7725 0.7725 0.7725 S
0.7777 0.2648 0.2648 S
```

## Properties
Crystal system = trigonal
ΔE_f (raw) = -0.6925 eV/atom
E = -5.3205 eV/atom

2.
Crystalline Na2MnIr2S6 at its relaxed geometry. Source: Alexandria, functional PBE.

```
Na2MnIr2S6
1.0
3.0930 -5.3684 0.0000
3.0930 5.3684 0.0000
-2.0932 0.0000 6.5070
Na Mn Ir S
2 1 2 6
Direct
0.1664 0.8336 0.0000 Na
0.8336 0.1664 0.0000 Na
0.0000 0.0000 0.5000 Mn
0.3326 0.6674 0.5000 Ir
0.6674 0.3326 0.5000 Ir
0.0627 0.3955 0.6865 S
0.2676 0.2676 0.3140 S
0.3955 0.0627 0.6865 S
0.6045 0.9373 0.3135 S
0.7324 0.7324 0.6860 S
0.9373 0.6045 0.3135 S
```

## Properties
Crystal system = monoclinic
ΔE_f (raw) = -0.6515 eV/atom
E = -5.5873 eV/atom

3.
Crystalline Mn3Nb2Ir at its relaxed geometry. Source: Alexandria, functional PBE.

```
Mn3Nb2Ir
1.0
4.1901 -2.4524 0.0000
4.1901 2.4524 0.0000
-2.8269 0.0000 4.1657
Mn Nb Ir
3 2 1
Direct
0.0000 0.0000 0.0000 Mn
0.0000 0.5000 0.0000 Mn
0.5000 0.0000 0.0000 Mn
0.3800 0.3800 0.6357 Nb
0.6200 0.6200 0.3643 Nb
0.0000 0.0000 0.5000 Ir
```

## Properties
Crystal system = monoclinic
Energy of formation from the pure elements = -0.261 eV per atom
E = -9.6791 eV/atom